## Be2ZnSn (GGA-PBE)

Data for crystalline Be2ZnSn at its relaxed geometry.

- calculated total energy (eV/atom) = -2.510
- calculated density (Mg/m³) = 5.4

Cell and atoms, written as POSCAR:
```
Be2ZnSn
1.0
6.2790 0.0000 0.0000
0.0000 6.2790 0.0000
0.0000 0.0000 6.2790
Be Zn Sn
8 4 4
Cartesian
0.0000 0.0000 0.0000
0.0000 3.1395 3.1395
1.5698 1.5698 1.5698
1.5698 4.7093 4.7093
3.1395 0.0000 3.1395
3.1395 3.1395 0.0000
4.7093 1.5698 4.7093
4.7093 4.7093 1.5698
0.0000 0.0000 3.1395
0.0000 3.1395 0.0000
3.1395 0.0000 0.0000
3.1395 3.1395 3.1395
1.5698 1.5698 4.7093
1.5698 4.7093 1.5698
4.7093 1.5698 1.5698
4.7093 4.7093 4.7093
```

## RbAsAuO (GGA-PBE)

Data for crystalline RbAsAuO at its relaxed geometry.

- calculated total energy (eV/atom) = -3.245
- calculated density (Mg/m³) = 7.3

Cell and atoms, written as POSCAR:
```
RbAsAuO
1.0
4.7468 0.0000 0.0000
0.0000 4.7468 0.0000
0.0000 0.0000 7.5348
Rb As Au O
2 2 2 2
Cartesian
1.1867 3.5601 0.0000
3.5601 1.1867 0.0000
1.1867 1.1867 3.1732
3.5601 3.5601 4.3616
1.1867 1.1867 5.5861
3.5601 3.5601 1.9487
1.1867 3.5601 3.7674
3.5601 1.1867 3.7674
```

## TlCuPdSeS2 (GGA-PBE)

Data for crystalline TlCuPdSeS2 at its relaxed geometry.

- calculated total energy (eV/atom) = -4.025
- calculated density (Mg/m³) = 6.6

Cell and atoms, written as POSCAR:
```
TlCuPdSeS2
1.0
1.8380 -7.0053 0.0000
1.8380 7.0053 0.0000
0.0000 0.0000 10.0931
Tl Cu Pd Se S
2 2 2 2 4
Cartesian
1.8380 3.5801 7.5698
1.8380 -3.5801 2.5233
1.8380 0.7624 2.5233
1.8380 -0.7624 7.5698
0.0000 0.0000 0.0000
0.0000 0.0000 5.0465
1.8380 6.1415 2.5233
1.8380 -6.1415 7.5698
1.8380 1.5414 0.3943
1.8380 1.5414 4.6522
1.8380 -1.5414 5.4409
1.8380 -1.5414 9.6987
```

## TbCo2Ni2 (GGA-PBE)

Data for crystalline TbCo2Ni2 at its relaxed geometry.

- energy of formation (meV per atom) = -85
- magnetic moment (μB per cell) = 7.47
- calculated density (Mg/m³) = 9.0

Cell and atoms, written as POSCAR:
```
TbCo2Ni2
1.0
3.7703 0.0000 0.0000
0.0000 3.7703 0.0000
0.0000 0.0000 10.2333
Tb Co Ni
2 4 4
Cartesian
0.0000 0.0000 0.0000
1.8851 1.8851 5.1167
0.0000 1.8851 2.5583
0.0000 1.8851 7.6750
1.8851 0.0000 2.5583
1.8851 0.0000 7.6750
0.0000 0.0000 3.9700
0.0000 0.0000 6.2633
1.8851 1.8851 1.1467
1.8851 1.8851 9.0866
```